No. 1
Density functional theory data (GGA-PBE) for a geometry-optimized AlSNF2 structure.

a = 4.6830 Å, b = 4.6830 Å, c = 3.3035 Å
α = 90.00°, β = 90.00°, γ = 90.00°
Last column: nearest neighbours and their distance in Å.
Atoms (fractional coordinates):
F 0.0000 0.5000 0.0000  2 S 2.34
F 0.5000 0.0000 0.0000  2 S 2.34
Al 0.5000 0.5000 0.5000  8 F 2.87
N 0.0000 0.0000 0.5000  2 S 1.65
S 0.0000 0.0000 0.0000  2 N 1.65

Results
**Theoretical density**: 2.5 g cm⁻³
**M_tot**: 0.0 μB per formula unit
**N(E_F)**: 0.446 states/eV per atom
**Total energy**: -4.078 eV/atom
**E above lowest polymorph**: 927 meV/atom
**Formation energy without anion corrections**: -0.090 eV per atom

---

No. 2
Density functional theory data (GGA-PBE) for a geometry-optimized AlSN2F structure.

a = 3.8805 Å, b = 3.8805 Å, c = 3.9321 Å
α = 90.00°, β = 90.00°, γ = 90.00°
Last column: nearest neighbours and their distance in Å.
Atoms (fractional coordinates):
S 0.0000 0.0000 0.5000  2 F 1.97
N 0.0000 0.5000 0.0000  2 F 1.94
N 0.5000 0.0000 0.0000  2 F 1.94
F 0.0000 0.0000 0.0000  4 N 1.94, 2 S 1.97
Al 0.5000 0.5000 0.5000  4 S 2.74, 8 N 2.76

Results
**Theoretical density**: 3.0 g cm⁻³
**M_tot**: 0.0 μB per formula unit
**N(E_F)**: 0.560 states/eV per atom
**Total energy**: -3.338 eV/atom
**E above lowest polymorph**: 1715 meV/atom
**Formation energy without anion corrections**: 1.941 eV per atom

---

No. 3
Density functional theory data (GGA-PBE) for a geometry-optimized AlSN2F structure.

a = 3.6497 Å, b = 3.6497 Å, c = 5.2142 Å
α = 90.00°, β = 90.00°, γ = 90.00°
Last column: nearest neighbours and their distance in Å.
Atoms (fractional coordinates):
S 0.0000 0.0000 0.5000  4 F 2.58, 2 Al 2.61
F 0.5000 0.5000 0.5000  4 S 2.58
Al 0.0000 0.0000 0.0000  4 N 1.82
N 0.5000 0.0000 0.0000  2 Al 1.82
N 0.0000 0.5000 0.0000  2 Al 1.82

Results
**Theoretical density**: 2.5 g cm⁻³
**M_tot**: 2.3 μB per formula unit
**N(E_F)**: 0.646 states/eV per atom
**Total energy**: -4.402 eV/atom
**E above lowest polymorph**: 650 meV/atom
**Formation energy without anion corrections**: 0.877 eV per atom

---

No. 4
Density functional theory data (GGA-PBE) for a geometry-optimized AlSN2F structure.

a = 3.3945 Å, b = 3.3945 Å, c = 5.7548 Å
α = 90.00°, β = 90.00°, γ = 90.00°
Last column: nearest neighbours and their distance in Å.
Atoms (fractional coordinates):
F 0.0000 0.0000 0.5000  4 Al 2.40
N 0.0000 0.5000 0.0000  2 S 1.70
N 0.5000 0.0000 0.0000  2 S 1.70
S 0.0000 0.0000 0.0000  4 N 1.70
Al 0.5000 0.5000 0.5000  4 F 2.40

Results
**Theoretical density**: 2.7 g cm⁻³
**M_tot**: 0.0 μB per formula unit
**N(E_F)**: 0.497 states/eV per atom
**Total energy**: -4.480 eV/atom
**E above lowest polymorph**: 572 meV/atom
**Formation energy without anion corrections**: 0.798 eV per atom

---

No. 5
Density functional theory data (GGA-PBE) for a geometry-optimized AlSN2F structure.

a = 3.9166 Å, b = 3.9166 Å, c = 3.4943 Å
α = 90.00°, β = 90.00°, γ = 90.00°
Last column: nearest neighbours and their distance in Å.
Atoms (fractional coordinates):
Al 0.0000 0.0000 0.0000  2 F 1.75
N 0.0000 0.5000 0.0000  2 Al 1.96
N 0.5000 0.0000 0.0000  2 Al 1.96
S 0.5000 0.5000 0.5000  8 N 2.62, 4 F 2.77
F 0.0000 0.0000 0.5000  2 Al 1.75

Results
**Theoretical density**: 3.3 g cm⁻³
**M_tot**: 0.0 μB per formula unit
**N(E_F)**: 0.408 states/eV per atom
**Total energy**: -5.052 eV/atom
**E above lowest polymorph**: 0 meV/atom
**Formation energy without anion corrections**: 0.226 eV per atom

---

No. 6
Density functional theory data (GGA-PBE) for a geometry-optimized AlSNF2 structure.

a = 3.4707 Å, b = 3.4707 Å, c = 4.6402 Å
α = 90.00°, β = 90.00°, γ = 90.00°
Last column: nearest neighbours and their distance in Å.
Atoms (fractional coordinates):
S 0.5000 0.5000 0.5000  4 N 2.45
N 0.0000 0.0000 0.5000  2 Al 2.32, 4 S 2.45
Al 0.0000 0.0000 0.0000  4 F 1.74
F 0.0000 0.5000 0.0000  2 Al 1.74
F 0.5000 0.0000 0.0000  2 Al 1.74

Results
**Theoretical density**: 3.3 g cm⁻³
**M_tot**: 0.0 μB per formula unit
**N(E_F)**: 0.328 states/eV per atom
**Total energy**: -5.005 eV/atom
**E above lowest polymorph**: 0 meV/atom
**Formation energy without anion corrections**: -1.018 eV per atom

---

No. 7
Density functional theory data (GGA-PBE) for a geometry-optimized AlSbNF2 structure.

a = 4.5676 Å, b = 4.5676 Å, c = 4.0580 Å
α = 90.00°, β = 90.00°, γ = 90.00°
Last column: nearest neighbours and their distance in Å.
Atoms (fractional coordinates):
N 0.0000 0.0000 0.5000  2 Sb 2.03
F 0.0000 0.5000 0.0000  2 Sb 2.28
F 0.5000 0.0000 0.0000  2 Sb 2.28
Al 0.5000 0.5000 0.5000  8 F 3.05, 4 N 3.23
Sb 0.0000 0.0000 0.0000  2 N 2.03

Results
**Theoretical density**: 3.9 g cm⁻³
**M_tot**: 0.0 μB per formula unit
**N(E_F)**: 0.024 states/eV per atom
**Total energy**: -4.515 eV/atom
**E above lowest polymorph**: 724 meV/atom
**Formation energy without anion corrections**: -0.529 eV per atom

---

No. 8
Density functional theory data (GGA-PBE) for a geometry-optimized AlSbNF2 structure.

a = 3.8943 Å, b = 3.8943 Å, c = 3.9667 Å
α = 90.00°, β = 90.00°, γ = 90.00°
Last column: nearest neighbours and their distance in Å.
Atoms (fractional coordinates):
N 0.0000 0.0000 0.5000  2 Al 1.98
Sb 0.5000 0.5000 0.5000  4 N 2.75, 8 F 2.78
F 0.5000 0.0000 0.0000  2 Al 1.95
F 0.0000 0.5000 0.0000  2 Al 1.95
Al 0.0000 0.0000 0.0000  4 F 1.95, 2 N 1.98

Results
**Theoretical density**: 5.5 g cm⁻³
**M_tot**: 0.0 μB per formula unit
**N(E_F)**: 0.194 states/eV per atom
**Total energy**: -5.240 eV/atom
**E above lowest polymorph**: 0 meV/atom
**Formation energy without anion corrections**: -1.253 eV per atom

---

No. 9
Density functional theory data (GGA-PBE) for a geometry-optimized Sc2AlNF structure.

a = 5.1924 Å, b = 3.5747 Å, c = 5.1924 Å
α = 90.00°, β = 90.00°, γ = 90.00°
Last column: nearest neighbours and their distance in Å.
Atoms (fractional coordinates):
Al 0.0000 0.0000 0.0000  2 N 1.79
Sc 0.0000 0.0000 0.5000  2 Al 2.60
Sc 0.5000 0.0000 0.0000  2 Al 2.60
F 0.5000 0.5000 0.5000  8 Sc 3.15
N 0.0000 0.5000 0.0000  2 Al 1.79

Results
**Theoretical density**: 2.6 g cm⁻³
**M_tot**: 0.7 μB per formula unit
**N(E_F)**: 0.715 states/eV per atom
**Total energy**: -5.406 eV/atom
**Formation energy without anion corrections**: -0.086 eV per atom

---

No. 10
Density functional theory data (GGA-PBE) for a geometry-optimized ScAlN2F structure.

a = 4.1782 Å, b = 4.1782 Å, c = 3.8937 Å
α = 90.00°, β = 90.00°, γ = 90.00°
Last column: nearest neighbours and their distance in Å.
Atoms (fractional coordinates):
N 0.5000 0.0000 0.0000  2 Sc 2.09
N 0.0000 0.5000 0.0000  2 Sc 2.09
F 0.0000 0.0000 0.5000  2 Sc 1.95
Sc 0.0000 0.0000 0.0000  2 F 1.95, 4 N 2.09
Al 0.5000 0.5000 0.5000  8 N 2.86, 4 F 2.95

Results
**Theoretical density**: 2.9 g cm⁻³
**M_tot**: 0.0 μB per formula unit
**N(E_F)**: 0.538 states/eV per atom
**Total energy**: -6.103 eV/atom
**E above lowest polymorph**: 914 meV/atom
**Formation energy without anion corrections**: -0.383 eV per atom

---

No. 11
Density functional theory data (GGA-PBE) for a geometry-optimized ScAlN2F structure.

a = 3.7870 Å, b = 3.7870 Å, c = 3.6188 Å
α = 90.00°, β = 90.00°, γ = 90.00°
Last column: nearest neighbours and their distance in Å.
Atoms (fractional coordinates):
Al 0.0000 0.0000 0.0000  2 F 1.81, 4 N 1.89
N 0.0000 0.5000 0.0000  2 Al 1.89
N 0.5000 0.0000 0.0000  2 Al 1.89
Sc 0.5000 0.5000 0.5000  8 N 2.62, 4 F 2.68
F 0.0000 0.0000 0.5000  2 Al 1.81

Results
**Theoretical density**: 3.8 g cm⁻³
**M_tot**: 0.0 μB per formula unit
**N(E_F)**: 0.412 states/eV per atom
**Total energy**: -7.017 eV/atom
**E above lowest polymorph**: 0 meV/atom
**Formation energy without anion corrections**: -1.298 eV per atom

---

No. 12
Density functional theory data (GGA-PBE) for a geometry-optimized AlSeN2F structure.

a = 3.9144 Å, b = 3.9144 Å, c = 4.1093 Å
α = 90.00°, β = 90.00°, γ = 90.00°
Last column: nearest neighbours and their distance in Å.
Atoms (fractional coordinates):
Al 0.5000 0.5000 0.5000  4 F 2.77, 8 N 2.84
N 0.0000 0.5000 0.0000  2 Se 1.96
N 0.5000 0.0000 0.0000  2 Se 1.96
F 0.0000 0.0000 0.5000  2 Se 2.05
Se 0.0000 0.0000 0.0000  4 N 1.96, 2 F 2.05

Results
**Theoretical density**: 4.0 g cm⁻³
**M_tot**: 0.2 μB per formula unit
**N(E_F)**: 0.453 states/eV per atom
**Total energy**: -4.260 eV/atom
**E above lowest polymorph**: 906 meV/atom
**Formation energy without anion corrections**: 0.890 eV per atom